[1]
Entry from Alexandria via LeMat-Bulk: a relaxed structure of LiPm3Sm3Te8 (PBE-GGA).

Summary:
The value obtained for the formation energy without anion corrections is -1387 meV per atom. As for the magnetization: 0.00 μB/cell. Its calculated density is 6.44 g/cm³.

Cell: 8.872 8.872 8.872 Å, 59.97 59.97 59.97°
Element x y z (fractional)
Li1 0.000 0.000 0.000
Pm1 0.000 0.000 0.500
Pm2 0.000 0.500 0.000
Pm3 0.500 0.000 0.000
Sm1 0.000 0.500 0.500
Sm2 0.500 0.000 0.500
Sm3 0.500 0.500 0.000
Te1 0.248 0.248 0.751
Te2 0.248 0.751 0.248
Te3 0.249 0.752 0.752
Te4 0.251 0.251 0.251
Te5 0.749 0.749 0.749
Te6 0.751 0.248 0.248
Te7 0.752 0.249 0.752
Te8 0.752 0.752 0.249

[2]
Entry from Alexandria via LeMat-Bulk: a relaxed structure of LiPmSmTe3 (PBE-GGA).

Summary:
The value obtained for the formation energy without anion corrections is -1294 meV per atom. As for the magnetization: 0.00 μB/cell. Its calculated density is 6.26 g/cm³.

Cell: 9.097 4.288 9.578 Å, 90.00 103.33 90.00°
Element x y z (fractional)
Li1 0.085 0.250 0.085
Li2 0.915 0.750 0.915
Pm1 0.186 0.250 0.730
Pm2 0.814 0.750 0.270
Sm1 0.334 0.750 0.338
Sm2 0.666 0.250 0.662
Te1 0.088 0.250 0.375
Te2 0.228 0.750 0.996
Te3 0.424 0.750 0.678
Te4 0.576 0.250 0.322
Te5 0.772 0.250 0.004
Te6 0.912 0.750 0.625

[3]
Entry from Alexandria via LeMat-Bulk: a relaxed structure of LiPm2Sm3Te6 (PBE-GGA).

Summary:
The value obtained for the formation energy without anion corrections is -1381 meV per atom. As for the magnetization: 0.00 μB/cell. Its calculated density is 6.82 g/cm³.

Cell: 9.908 9.908 8.858 Å, 102.90 102.90 25.83°
Element x y z (fractional)
Li1 0.000 0.000 0.000
Pm1 0.331 0.331 0.661
Pm2 0.669 0.669 0.339
Sm1 0.000 0.000 0.500
Sm2 0.331 0.331 0.168
Sm3 0.669 0.669 0.832
Te1 0.161 0.161 0.079
Te2 0.165 0.165 0.585
Te3 0.500 0.500 0.239
Te4 0.500 0.500 0.761
Te5 0.835 0.835 0.415
Te6 0.839 0.839 0.921

[4]
Entry from Alexandria via LeMat-Bulk: a relaxed structure of LiPm2SmTe5 (PBE-GGA).

Summary:
The value obtained for the formation energy without anion corrections is -1306 meV per atom. As for the magnetization: 0.00 μB/cell. Its calculated density is 6.54 g/cm³.

Cell: 9.644 9.644 13.290 Å, 90.00 90.00 153.54°
Element x y z (fractional)
Li1 0.055 0.945 0.500
Li2 0.945 0.055 0.000
Pm1 0.374 0.626 0.337
Pm2 0.394 0.606 0.720
Pm3 0.606 0.394 0.220
Pm4 0.626 0.374 0.837
Sm1 0.302 0.698 0.043
Sm2 0.698 0.302 0.543
Te1 0.002 0.998 0.818
Te2 0.135 0.865 0.033
Te3 0.186 0.814 0.377
Te4 0.217 0.783 0.706
Te5 0.454 0.546 0.110
Te6 0.546 0.454 0.610
Te7 0.783 0.217 0.206
Te8 0.814 0.186 0.877
Te9 0.865 0.135 0.533
Te10 0.998 0.002 0.318